[1]
A plane-wave DFT calculation with PBE was carried out for an optimized crystal structure of Be2PbAu.

It has space group Pm (No. 6), with a = 3.5188 Å, b = 3.3266 Å, c = 6.2053 Å, α = 90.00°, β = 102.21° and γ = 90.00°. Symmetry generates all atoms from Be at (0.0000, 0.0000, 0.0000), Be at (0.1025, 0.5000, 0.2814), Pb at (0.5175, 0.5000, 0.7194) and Au at (0.5957, 0.0000, 0.2592).

As for the total energy: -3.355 eV per atom. For the formation energy, the calculation gives 25 kJ per mole of atoms.


[2]
A plane-wave DFT calculation with PBE was carried out for an optimized crystal structure of BePb2Au.

It has space group P4/mmm (No. 123), with a = 3.5462 Å, b = 3.5462 Å, c = 7.2459 Å, α = 90.00°, β = 90.00° and γ = 90.00°. Symmetry generates all atoms from Be at (0.0000, 0.0000, 0.0000), Pb at (0.5000, 0.5000, 0.2392) and Au at (0.0000, 0.0000, 0.5000).

As for the total energy: -3.197 eV per atom. For the formation energy, the calculation gives 39 kJ per mole of atoms.


[3]
A plane-wave DFT calculation with PBE was carried out for an optimized crystal structure of Be2PbAu2.

It has space group P4/mbm (No. 127), with a = 7.4356 Å, b = 7.4356 Å, c = 3.0304 Å, α = 90.00°, β = 90.00° and γ = 90.00°. Symmetry generates all atoms from Be at (0.1170, 0.3830, 0.0000), Pb at (0.0000, 0.0000, 0.0000) and Au at (0.1510, 0.6510, 0.5000).

As for the total energy: -3.407 eV per atom. For the formation energy, the calculation gives 13 kJ per mole of atoms.


[4]
A plane-wave DFT calculation with PBE was carried out for an optimized crystal structure of BePbAu.

It has space group F-43m (No. 216), with a = 6.1944 Å, b = 6.1944 Å, c = 6.1944 Å, α = 90.00°, β = 90.00° and γ = 90.00°. Symmetry generates all atoms from Be at (0.0000, 0.0000, 0.0000), Pb at (0.2500, 0.2500, 0.7500) and Au at (0.2500, 0.2500, 0.2500).

As for the total energy: -3.343 eV per atom. For the formation energy, the calculation gives 22 kJ per mole of atoms.


[5]
A plane-wave DFT calculation with PBE was carried out for an optimized crystal structure of BePbAu.

It has space group P-6m2 (No. 187), with a = 4.0291 Å, b = 4.0291 Å, c = 4.3924 Å, α = 90.00°, β = 90.00° and γ = 120.00°. Symmetry generates all atoms from Be at (0.0000, 0.0000, 0.0000), Pb at (0.6667, 0.3333, 0.5000) and Au at (0.3333, 0.6667, 0.0000).

As for the total energy: -3.441 eV per atom. For the formation energy, the calculation gives 12 kJ per mole of atoms.


[6]
A plane-wave DFT calculation with PBE was carried out for an optimized crystal structure of BePb2Au.

It has space group Cmmm (No. 65), with a = 6.8555 Å, b = 7.6156 Å, c = 3.5254 Å, α = 90.00°, β = 90.00° and γ = 90.00°. Symmetry generates all atoms from Be at (0.0000, 0.0000, 0.0000), Pb at (0.2500, 0.2500, 0.5000) and Au at (0.0000, 0.5000, 0.0000).

As for the total energy: -3.190 eV per atom. For the formation energy, the calculation gives 40 kJ per mole of atoms.


[7]
A plane-wave DFT calculation with PBE was carried out for an optimized crystal structure of Be4PbAu.

It has space group F-43m (No. 216), with a = 6.8740 Å, b = 6.8740 Å, c = 6.8740 Å, α = 90.00°, β = 90.00° and γ = 90.00°. Symmetry generates all atoms from Be at (0.1232, 0.1232, 0.3768), Pb at (0.0000, 0.0000, 0.0000) and Au at (0.2500, 0.2500, 0.7500).

As for the total energy: -3.223 eV per atom. For the formation energy, the calculation gives 41 kJ per mole of atoms.


[8]
A plane-wave DFT calculation with PBE was carried out for an optimized crystal structure of Be2PbAu.

It has space group Immm (No. 71), with a = 3.0702 Å, b = 5.7333 Å, c = 8.2425 Å, α = 90.00°, β = 90.00° and γ = 90.00°. Symmetry generates all atoms from Be at (0.0000, 0.0000, 0.2193), Pb at (0.0000, 0.5000, 0.0000) and Au at (0.0000, 0.5000, 0.5000).

As for the total energy: -3.129 eV per atom. For the formation energy, the calculation gives 46 kJ per mole of atoms.


[9]
A plane-wave DFT calculation with PBE was carried out for an optimized crystal structure of BePbAu.

It has space group Cm (No. 8), with a = 4.6246 Å, b = 4.5637 Å, c = 5.7849 Å, α = 90.00°, β = 99.77° and γ = 90.00°. Symmetry generates all atoms from Be at (0.0000, 0.0000, 0.0000), Pb at (0.2368, 0.0000, 0.5695) and Au at (0.0307, 0.5000, 0.1185).

As for the total energy: -3.445 eV per atom. For the formation energy, the calculation gives 12 kJ per mole of atoms.


[10]
A plane-wave DFT calculation with PBE was carried out for an optimized crystal structure of Be2PbAu.

It has space group C2/m (No. 12), with a = 7.0270 Å, b = 4.0477 Å, c = 5.6669 Å, α = 90.00°, β = 114.60° and γ = 90.00°. Symmetry generates all atoms from Be at (0.1835, 0.0000, 0.0487), Pb at (0.0000, 0.0000, 0.5000) and Au at (0.0000, 0.5000, 0.0000).

As for the total energy: -3.510 eV per atom. For the formation energy, the calculation gives 10 kJ per mole of atoms.


[11]
A plane-wave DFT calculation with PBE was carried out for an optimized crystal structure of BePb2Au.

It has space group Imm2 (No. 44), with a = 3.3442 Å, b = 5.3429 Å, c = 10.3731 Å, α = 90.00°, β = 90.00° and γ = 90.00°. Symmetry generates all atoms from Be at (0.0000, 0.0000, 0.0000), Pb at (0.0000, 0.0000, 0.5452), Pb at (0.0000, 0.5000, 0.7432) and Au at (0.0000, 0.5000, 0.3506).

As for the total energy: -3.385 eV per atom. For the formation energy, the calculation gives 21 kJ per mole of atoms.


[12]
A plane-wave DFT calculation with PBE was carried out for an optimized crystal structure of Be2PbAu.

It has space group I4_1/amd (No. 141, origin choice 2), with a = 4.4235 Å, b = 4.4235 Å, c = 16.0094 Å, α = 90.00°, β = 90.00° and γ = 90.00°. Symmetry generates all atoms from Be at (0.0000, 0.0000, 0.0000), Pb at (0.0000, 0.2500, 0.3750) and Au at (0.0000, 0.2500, 0.8750).

As for the total energy: -3.300 eV per atom. For the formation energy, the calculation gives 30 kJ per mole of atoms.


[13]
A plane-wave DFT calculation with PBE was carried out for an optimized crystal structure of BePb2Au.

It has space group P2/m (No. 10), with a = 3.6539 Å, b = 3.7383 Å, c = 6.7320 Å, α = 90.00°, β = 96.31° and γ = 90.00°. Symmetry generates all atoms from Be at (0.0000, 0.0000, 0.0000), Pb at (0.4318, 0.5000, 0.2385) and Au at (0.0000, 0.0000, 0.5000).

As for the total energy: -3.200 eV per atom. For the formation energy, the calculation gives 39 kJ per mole of atoms.


[14]
A plane-wave DFT calculation with PBE was carried out for an optimized crystal structure of BePb2Au.

It has space group Pm (No. 6), with a = 4.3527 Å, b = 4.0072 Å, c = 5.6170 Å, α = 90.00°, β = 111.36° and γ = 90.00°. Symmetry generates all atoms from Be at (0.0000, 0.0000, 0.0000), Pb at (0.4041, 0.5000, 0.8251), Pb at (0.7098, 0.0000, 0.4419) and Au at (0.0997, 0.5000, 0.2305).

As for the total energy: -3.475 eV per atom. For the formation energy, the calculation gives 13 kJ per mole of atoms.


[15]
A plane-wave DFT calculation with PBE was carried out for an optimized crystal structure of Be2Pb3Au9.

It has space group P6_3/mmc (No. 194), with a = 6.4212 Å, b = 6.4212 Å, c = 15.5349 Å, α = 90.00°, β = 90.00° and γ = 120.00°. Symmetry generates all atoms from Be at (0.3333, 0.6667, 0.1690), Pb at (0.0000, 0.0000, 0.2500), Pb at (0.3333, 0.6667, 0.5758), Au at (0.0304, 0.5152, 0.7500) and Au at (0.1571, 0.3143, 0.0811).

As for the total energy: -3.487 eV per atom. For the formation energy, the calculation gives -5 kJ per mole of atoms.


[16]
A plane-wave DFT calculation with PBE was carried out for an optimized crystal structure of Be2PbAu.

It has space group P4/mmm (No. 123), with a = 3.1884 Å, b = 3.1884 Å, c = 6.6605 Å, α = 90.00°, β = 90.00° and γ = 90.00°. Symmetry generates all atoms from Be at (0.0000, 0.0000, 0.1709), Pb at (0.5000, 0.5000, 0.5000) and Au at (0.5000, 0.5000, 0.0000).

As for the total energy: -3.304 eV per atom. For the formation energy, the calculation gives 29 kJ per mole of atoms.


[17]
A plane-wave DFT calculation with PBE was carried out for an optimized crystal structure of BePb2Au.

It has space group Cm (No. 8), with a = 7.1197 Å, b = 4.1096 Å, c = 7.1105 Å, α = 90.00°, β = 109.10° and γ = 90.00°. Symmetry generates all atoms from Be at (0.0000, 0.0000, 0.0000), Pb at (0.2421, 0.0000, 0.7204), Pb at (0.4237, 0.0000, 0.2791) and Au at (0.1663, 0.5000, 0.9994).

As for the total energy: -3.595 eV per atom. For the formation energy, the calculation gives 1 kJ per mole of atoms.


[18]
A plane-wave DFT calculation with PBE was carried out for an optimized crystal structure of BePdPb2Au.

It has space group P4/mmm (No. 123), with a = 5.0449 Å, b = 5.0449 Å, c = 4.3031 Å, α = 90.00°, β = 90.00° and γ = 90.00°. Symmetry generates all atoms from Be at (0.0000, 0.0000, 0.0000), Pd at (0.0000, 0.0000, 0.5000), Pb at (0.0000, 0.5000, 0.0000) and Au at (0.5000, 0.5000, 0.5000).

As for the total energy: -3.686 eV per atom. For the formation energy, the calculation gives 23 kJ per mole of atoms.


[19]
A plane-wave DFT calculation with PBE was carried out for an optimized crystal structure of BeSiPb2Au6.

It has space group P-1 (No. 2), with a = 6.5911 Å, b = 6.6025 Å, c = 6.6401 Å, α = 60.79°, β = 60.35° and γ = 60.16°. Symmetry generates all atoms from Be at (0.0000, 0.0000, 0.0000), Si at (0.5000, 0.5000, 0.5000), Pb at (0.4092, 0.1916, 0.2006), Au at (0.1650, 0.6705, 0.3219), Au at (0.1646, 0.8395, 0.6753) and Au at (0.1703, 0.3187, 0.8417).

As for the total energy: -3.681 eV per atom.


[20]
A plane-wave DFT calculation with PBE was carried out for an optimized crystal structure of Be2TePbAu.

It has space group P4/mmm (No. 123), with a = 4.5148 Å, b = 4.5148 Å, c = 6.3573 Å, α = 90.00°, β = 90.00° and γ = 90.00°. Symmetry generates all atoms from Be at (0.0000, 0.5000, 0.0000), Te at (0.0000, 0.0000, 0.5000), Pb at (0.0000, 0.0000, 0.0000) and Au at (0.5000, 0.5000, 0.5000).

As for the total energy: -2.509 eV per atom.


[21]
A plane-wave DFT calculation with PBE was carried out for an optimized crystal structure of Ti2BePbAu.

It has space group P4/mmm (No. 123), with a = 5.2378 Å, b = 5.2378 Å, c = 5.1661 Å, α = 90.00°, β = 90.00° and γ = 90.00°. Symmetry generates all atoms from Ti at (0.0000, 0.5000, 0.0000), Be at (0.0000, 0.0000, 0.5000), Pb at (0.5000, 0.5000, 0.0000) and Au at (0.5000, 0.5000, 0.5000).

As for the total energy: -3.745 eV per atom. For the formation energy, the calculation gives 150 kJ per mole of atoms.


[22]
A plane-wave DFT calculation with PBE was carried out for an optimized crystal structure of Be2VPbAu.

It has space group P4/mmm (No. 123), with a = 4.5279 Å, b = 4.5279 Å, c = 4.9423 Å, α = 90.00°, β = 90.00° and γ = 90.00°. Symmetry generates all atoms from Be at (0.0000, 0.5000, 0.0000), V at (0.0000, 0.0000, 0.0000), Pb at (0.5000, 0.5000, 0.5000) and Au at (0.0000, 0.0000, 0.5000).

As for the total energy: -3.683 eV per atom. For the formation energy, the calculation gives 99 kJ per mole of atoms.


[23]
A plane-wave DFT calculation with PBE was carried out for an optimized crystal structure of YBe2PbAu.

It has space group P4/mmm (No. 123), with a = 5.0998 Å, b = 5.0998 Å, c = 5.4040 Å, α = 90.00°, β = 90.00° and γ = 90.00°. Symmetry generates all atoms from Y at (0.0000, 0.0000, 0.0000), Be at (0.0000, 0.5000, 0.0000), Pb at (0.5000, 0.5000, 0.5000) and Au at (0.0000, 0.0000, 0.5000).

As for the total energy: -2.985 eV per atom. For the formation energy, the calculation gives 115 kJ per mole of atoms.


[24]
A plane-wave DFT calculation with PBE was carried out for an optimized crystal structure of BeZnPbAu2.

It has space group P4/mmm (No. 123), with a = 5.3873 Å, b = 5.3873 Å, c = 5.3848 Å, α = 90.00°, β = 90.00° and γ = 90.00°. Symmetry generates all atoms from Be at (0.0000, 0.0000, 0.0000), Zn at (0.5000, 0.5000, 0.0000), Pb at (0.5000, 0.5000, 0.5000) and Au at (0.0000, 0.5000, 0.5000).

As for the total energy: -1.964 eV per atom. For the formation energy, the calculation gives 105 kJ per mole of atoms.


[25]
A plane-wave DFT calculation with PBE was carried out for an optimized crystal structure of BePdAu2.

It has space group R-3m (No. 166, hexagonal axes), with a = 2.8412 Å, b = 2.8412 Å, c = 27.4372 Å, α = 90.00°, β = 90.00° and γ = 120.00°. Symmetry generates all atoms from Be at (0.0000, 0.0000, 0.0000), Pd at (0.0000, 0.0000, 0.5000) and Au at (0.0000, 0.0000, 0.3995).

As for the total energy: -3.796 eV per atom. For the formation energy, the calculation gives 7 kJ per mole of atoms.


[26]
A plane-wave DFT calculation with PBE was carried out for an optimized crystal structure of BePd4Au3.

It has space group P4/mmm (No. 123), with a = 2.8429 Å, b = 2.8429 Å, c = 15.1962 Å, α = 90.00°, β = 90.00° and γ = 90.00°. Symmetry generates all atoms from Be at (0.0000, 0.0000, 0.0000), Pd at (0.5000, 0.5000, 0.0911), Pd at (0.5000, 0.5000, 0.3647), Au at (0.0000, 0.0000, 0.2301) and Au at (0.0000, 0.0000, 0.5000).

As for the total energy: -4.527 eV per atom. For the formation energy, the calculation gives -23 kJ per mole of atoms.